VASP calculation (GGA-PBE) on Ce2DyEr3S6 after structural relaxation.

## Properties
Its uncorrected formation energy is -2315 kJ/mol of formula units. The volume is 21.39 Å³/atom. As for the space-group type: C2/m. The total energy is -6.58 eV per atom. The value obtained for the spin magnetization is 1.75 μB per cell.

a = 3.902 Å, b = 7.903 Å, c = 8.795 Å
α = 103.61°, β = 102.81°, γ = 90.00°
Last column: magnetic moment on the atom in μB.
Fractional positions:
1 S 0.667 0.073 0.334  -0.01
2 S 0.003 0.750 0.007  0.00
3 S 0.337 0.408 0.675  -0.01
4 S 0.333 0.927 0.666  -0.01
5 S 0.997 0.250 0.993  0.00
6 S 0.663 0.592 0.325  -0.01
7 Er 0.168 0.832 0.335  0.01
8 Er 0.832 0.168 0.665  0.01
9 Er 0.500 0.500 0.000  0.01
10 Ce 0.168 0.336 0.335  0.67
11 Ce 0.832 0.664 0.665  0.67
12 Dy 0.500 0.000 0.000  0.03